A plane-wave DFT calculation with GGA-PBE was carried out for a relaxed structure of ZrReAs.

V = 112 Å³/cell
Space-group type = Cm (8)
Energy relative to the elements = -336 meV/atom
N(E_F) = 3.77 states/eV/cell

a b c (Å): 5.5040 5.5040 5.4179
angles (deg): 104.21 104.21 44.82
Closest atoms and distances in Å follow each position.
Element x y z (fractional)
Zr 0.0000 0.0000 0.0000  4 As 2.75-2.88, 4 Re 2.85-3.00
Zr 0.6069 0.6069 0.5580  5 As 2.80-3.10, 3 Re 2.90-3.07
Re 0.3287 0.3287 0.1610  3 As 2.53-2.55, 2 Re 2.63
Re 0.9034 0.9034 0.4563  3 As 2.57-2.65, 2 Re 2.63, 1 Zr 2.85
As 0.3394 0.3394 0.6997  3 Re 2.53-2.65
As 0.6809 0.6809 0.0933  3 Re 2.55-2.57, 4 Zr 2.75-2.81


A plane-wave DFT calculation with GGA-PBE was carried out for a relaxed structure of ZrRe2As.

V = 68 Å³/cell
Space-group type = Cmmm (65)
Energy relative to the elements = 254 meV/atom
N(E_F) = 3.14 states/eV/cell

a b c (Å): 4.7879 4.7879 3.1719
angles (deg): 90.00 90.00 111.71
Closest atoms and distances in Å follow each position.
Element x y z (fractional)
Zr 0.0000 0.0000 0.0000  2 As 2.69, 8 Re 2.87
Re 0.0000 0.5000 0.5000  2 Re 2.69, 4 Zr 2.87, 4 As 2.87
Re 0.5000 0.0000 0.5000  2 Re 2.69, 4 Zr 2.87, 4 As 2.87
As 0.5000 0.5000 0.0000  2 Zr 2.69, 8 Re 2.87


A plane-wave DFT calculation with GGA-PBE was carried out for a relaxed structure of Zr2ReAs.

V = 75 Å³/cell
Space-group type = Cmmm (65)
Energy relative to the elements = -327 meV/atom
N(E_F) = 2.46 states/eV/cell

a b c (Å): 3.0642 3.0642 8.4586
angles (deg): 90.00 90.00 109.14
Closest atoms and distances in Å follow each position.
Element x y z (fractional)
Zr 0.0000 0.0000 0.2494  2 As 2.76, 2 Re 2.77, 4 Zr 3.06
Zr 0.0000 0.0000 0.7506  2 As 2.76, 2 Re 2.77, 4 Zr 3.06
Re 0.5000 0.5000 0.5000  4 Zr 2.77, 4 Re 3.06
As 0.5000 0.5000 0.0000  4 Zr 2.76, 4 As 3.06


A plane-wave DFT calculation with GGA-PBE was carried out for a relaxed structure of ZrReAs.

V = 54 Å³/cell
Space-group type = Amm2 (38)
Energy relative to the elements = -331 meV/atom
N(E_F) = 0.39 states/eV/cell

a b c (Å): 3.2016 5.4160 5.4160
angles (deg): 35.22 90.00 90.00
Closest atoms and distances in Å follow each position.
Element x y z (fractional)
Zr 0.0000 0.0000 0.0000  3 As 2.72-2.99, 4 Re 2.93
Re 0.5000 0.3225 0.3225  4 As 2.57
As 0.0000 0.7100 0.7100  4 Re 2.57, 2 Zr 2.72


A plane-wave DFT calculation with GGA-PBE was carried out for a relaxed structure of ZrReAs.

V = 109 Å³/cell
Space-group type = Imm2 (44)
Energy relative to the elements = -395 meV/atom
N(E_F) = 3.96 states/eV/cell

a b c (Å): 5.5114 5.5114 5.5114
angles (deg): 134.68 102.99 94.14
Closest atoms and distances in Å follow each position.
Element x y z (fractional)
Zr 0.0000 0.0000 0.0000  6 As 2.85-3.09, 2 Re 3.05
Zr 0.6010 0.1010 0.5000  4 As 2.88, 6 Re 2.98-3.02
Re 0.1981 0.3732 0.8249  1 Re 2.40, 3 As 2.52-2.55
Re 0.5482 0.3732 0.1751  1 Re 2.40, 3 As 2.52-2.55
As 0.4432 0.7033 0.7398  3 Re 2.52-2.55
As 0.9635 0.7033 0.2602  3 Re 2.52-2.55


A plane-wave DFT calculation with GGA-PBE was carried out for a relaxed structure of Zr2ReAs.

V = 74 Å³/cell
Space-group type = Cmmm (65)
Energy relative to the elements = -388 meV/atom
N(E_F) = 3.49 states/eV/cell

a b c (Å): 4.7334 4.7334 3.3634
angles (deg): 90.00 90.00 102.11
Closest atoms and distances in Å follow each position.
Element x y z (fractional)
Zr 0.0000 0.5000 0.0000  4 As 2.90, 4 Re 2.90, 2 Zr 2.98
Zr 0.5000 0.0000 0.0000  4 As 2.90, 4 Re 2.90, 2 Zr 2.98
Re 0.0000 0.0000 0.5000  8 Zr 2.90, 2 As 2.98
As 0.5000 0.5000 0.5000  8 Zr 2.90, 2 Re 2.98


A plane-wave DFT calculation with GGA-PBE was carried out for a relaxed structure of Zr4ReAs.

V = 122 Å³/cell
Space-group type = F-43m (216)
Energy relative to the elements = 545 meV/atom
N(E_F) = 6.22 states/eV/cell

a b c (Å): 5.5746 5.5746 5.5746
angles (deg): 60.00 60.00 60.00
Closest atoms and distances in Å follow each position.
Element x y z (fractional)
Zr 0.3764 0.3764 0.3764  6 Zr 2.76-2.82
Zr 0.3764 0.3764 0.8708  6 Zr 2.76-2.82
Zr 0.3764 0.8708 0.3764  6 Zr 2.76-2.82
Zr 0.8708 0.3764 0.3764  6 Zr 2.76-2.82
Re 0.7500 0.7500 0.7500  12 Zr 3.27, 4 As 3.41
As 0.0000 0.0000 0.0000  12 Zr 3.27, 4 Re 3.41


A plane-wave DFT calculation with GGA-PBE was carried out for a relaxed structure of ZrReAs.

V = 108 Å³/cell
Space-group type = I4/mmm (139)
Energy relative to the elements = -471 meV/atom
N(E_F) = 6.05 states/eV/cell

a b c (Å): 7.1469 7.1469 7.1469
angles (deg): 147.03 147.03 47.32
Closest atoms and distances in Å follow each position.
Element x y z (fractional)
Zr 0.1549 0.1549 0.0000  5 As 2.83-2.89, 4 Re 2.87
Zr 0.8451 0.8451 0.0000  5 As 2.83-2.89, 4 Re 2.87
Re 0.0000 0.5000 0.5000  4 As 2.64, 4 Zr 2.87, 4 Re 2.87
Re 0.5000 0.0000 0.5000  4 As 2.64, 4 Zr 2.87, 4 Re 2.87
As 0.3708 0.3708 0.0000  4 Re 2.64, 5 Zr 2.83-2.89
As 0.6292 0.6292 0.0000  4 Re 2.64, 5 Zr 2.83-2.89


A plane-wave DFT calculation with GGA-PBE was carried out for a relaxed structure of ZrRe2As.

V = 67 Å³/cell
Space-group type = P2/m (10)
Energy relative to the elements = 63 meV/atom
N(E_F) = 2.63 states/eV/cell

a b c (Å): 2.9050 4.7822 4.8537
angles (deg): 90.00 90.58 90.00
Closest atoms and distances in Å follow each position.
Element x y z (fractional)
Zr 0.0000 0.0000 0.0000  4 As 2.82-2.84, 4 Re 2.85, 2 Zr 2.91
Re 0.3373 0.5000 0.2509  2 Re 2.59-2.62, 2 As 2.72, 2 Zr 2.85
Re 0.6627 0.5000 0.7491  2 Re 2.59-2.62, 2 As 2.72, 2 Zr 2.85
As 0.5000 0.0000 0.5000  4 Re 2.72, 4 Zr 2.82-2.84, 2 As 2.91


A plane-wave DFT calculation with GGA-PBE was carried out for a relaxed structure of ZrReAs3.

V = 136 Å³/cell
Space-group type = Pm-3m (221)
Energy relative to the elements = 1278 meV/atom
N(E_F) = 4.00 states/eV/cell

a b c (Å): 5.1369 5.1369 5.1369
angles (deg): 90.00 90.00 90.00
Closest atoms and distances in Å follow each position.
Element x y z (fractional)
Zr 0.0000 0.0000 0.0000  6 As 2.57
Re 0.5000 0.5000 0.5000  12 As 3.63
As 0.0000 0.0000 0.5000  2 Zr 2.57
As 0.0000 0.5000 0.0000  2 Zr 2.57
As 0.5000 0.0000 0.0000  2 Zr 2.57


A plane-wave DFT calculation with GGA-PBE was carried out for a relaxed structure of ZrReAs.

V = 115 Å³/cell
Space-group type = Ima2 (46)
Energy relative to the elements = -426 meV/atom
N(E_F) = 1.83 states/eV/cell

a b c (Å): 5.8452 5.8452 5.8452
angles (deg): 140.28 82.08 111.63
Closest atoms and distances in Å follow each position.
Element x y z (fractional)
Zr 0.1713 0.2500 0.4213  4 As 2.80-2.87, 3 Re 3.05-3.08
Zr 0.8287 0.7500 0.5787  4 As 2.80-2.87, 3 Re 3.05-3.08
Re 0.5935 0.9204 0.1732  2 Re 2.40, 2 As 2.51-2.58
Re 0.7472 0.4204 0.8268  2 Re 2.40, 2 As 2.51-2.58
As 0.1523 0.5494 0.1028  2 Re 2.51-2.58, 2 Zr 2.80
As 0.4466 0.0494 0.8972  2 Re 2.51-2.58, 2 Zr 2.80


A plane-wave DFT calculation with GGA-PBE was carried out for a relaxed structure of ZrRe2As.

V = 68 Å³/cell
Space-group type = Cmmm (65)
Energy relative to the elements = 321 meV/atom
N(E_F) = 3.00 states/eV/cell

a b c (Å): 2.9778 2.9778 8.3331
angles (deg): 90.00 90.00 113.34
Closest atoms and distances in Å follow each position.
Element x y z (fractional)
Zr 0.0000 0.0000 0.0000  4 Re 2.77, 4 Zr 2.98
Re 0.5000 0.5000 0.2687  2 As 2.53, 2 Zr 2.77
Re 0.5000 0.5000 0.7313  2 As 2.53, 2 Zr 2.77
As 0.0000 0.0000 0.5000  4 Re 2.53


A plane-wave DFT calculation with GGA-PBE was carried out for a relaxed structure of ZrRe2As.

V = 68 Å³/cell
Space-group type = Cm (8)
Energy relative to the elements = 52 meV/atom
N(E_F) = 4.24 states/eV/cell

a b c (Å): 5.1176 5.1176 4.6640
angles (deg): 107.75 107.75 35.93
Closest atoms and distances in Å follow each position.
Element x y z (fractional)
Zr 0.0000 0.0000 0.0000  6 Re 2.77-3.07, 3 As 2.82-2.93
Re 0.2294 0.2294 0.6429  2 As 2.59, 2 Re 2.62
Re 0.5026 0.5026 0.5136  3 Re 2.62-2.91, 2 As 2.75, 4 Zr 2.77-2.86
As 0.7667 0.7667 0.2346  4 Re 2.59-2.75, 1 Zr 2.82


A plane-wave DFT calculation with GGA-PBE was carried out for a relaxed structure of ZrReAs.

V = 109 Å³/cell
Space-group type = C2/m (12)
Energy relative to the elements = -445 meV/atom
N(E_F) = 1.77 states/eV/cell

a b c (Å): 5.2881 5.2881 7.0622
angles (deg): 109.96 109.96 36.12
Closest atoms and distances in Å follow each position.
Element x y z (fractional)
Zr 0.1247 0.1247 0.2728  4 As 2.78-2.82, 4 Re 2.87-2.95
Zr 0.8753 0.8753 0.7272  4 As 2.78-2.82, 4 Re 2.87-2.95
Re 0.3715 0.3715 0.0594  2 As 2.52, 2 Re 2.81
Re 0.6285 0.6285 0.9406  2 As 2.52, 2 Re 2.81
As 0.1417 0.1417 0.6773  2 Re 2.52, 3 Zr 2.78-2.80
As 0.8583 0.8583 0.3227  2 Re 2.52, 3 Zr 2.78-2.80


A plane-wave DFT calculation with GGA-PBE was carried out for a relaxed structure of Zr2ReAs.

V = 75 Å³/cell
Space-group type = P4mm (99)
Energy relative to the elements = -139 meV/atom
N(E_F) = 2.71 states/eV/cell

a b c (Å): 3.5549 3.5549 5.9486
angles (deg): 90.00 90.00 90.00
Closest atoms and distances in Å follow each position.
Element x y z (fractional)
Zr 0.0000 0.0000 0.0000  4 Re 2.85, 2 As 2.90-3.05, 4 Zr 3.08
Zr 0.5000 0.5000 0.2986  4 As 2.82, 2 Re 2.83-3.12, 4 Zr 3.08
Re 0.5000 0.5000 0.7738  6 Zr 2.83-3.12, 4 As 2.96
As 0.0000 0.0000 0.5123  6 Zr 2.82-3.05, 4 Re 2.96


A plane-wave DFT calculation with GGA-PBE was carried out for a relaxed structure of ZrRe2As.

V = 148 Å³/cell
Space-group type = I-42d (122)
Energy relative to the elements = 263 meV/atom
N(E_F) = 4.72 states/eV/cell

a b c (Å): 9.8908 9.8908 9.8908
angles (deg): 156.98 156.98 32.78
Closest atoms and distances in Å follow each position.
Element x y z (fractional)
Zr 0.0000 0.0000 0.0000  4 As 2.79, 4 Re 2.86
Zr 0.7500 0.2500 0.5000  4 As 2.79, 4 Re 2.86
Re 0.1933 0.6250 0.0683  2 Re 2.44, 2 As 2.67
Re 0.3750 0.4433 0.5683  2 Re 2.44, 2 As 2.67
Re 0.5567 0.1250 0.9317  2 Re 2.44, 2 As 2.67
Re 0.8750 0.8067 0.4317  2 Re 2.44, 2 As 2.67
As 0.2500 0.7500 0.5000  4 Re 2.67, 4 Zr 2.79
As 0.5000 0.5000 0.0000  4 Re 2.67, 4 Zr 2.79


A plane-wave DFT calculation with GGA-PBE was carried out for a relaxed structure of ZrRe2As.

V = 66 Å³/cell
Space-group type = I-4m2 (119)
Energy relative to the elements = 176 meV/atom
N(E_F) = 4.42 states/eV/cell

a b c (Å): 5.1257 5.1257 5.1257
angles (deg): 135.29 135.29 65.07
Closest atoms and distances in Å follow each position.
Element x y z (fractional)
Zr 0.0000 0.0000 0.0000  8 Re 2.76-2.91, 4 As 2.91
Re 0.5000 0.5000 0.0000  4 Zr 2.76, 4 As 2.91, 4 Re 2.91
Re 0.7500 0.2500 0.5000  4 As 2.76, 4 Zr 2.91, 4 Re 2.91
As 0.2500 0.7500 0.5000  8 Re 2.76-2.91, 4 Zr 2.91


A plane-wave DFT calculation with GGA-PBE was carried out for a relaxed structure of ZrReAs.

V = 53 Å³/cell
Space-group type = P3m1 (156)
Energy relative to the elements = -268 meV/atom
N(E_F) = 3.11 states/eV/cell

a b c (Å): 4.3610 4.3610 3.2185
angles (deg): 90.00 90.00 120.00
Closest atoms and distances in Å follow each position.
Element x y z (fractional)
Zr 0.0000 0.0000 0.0000  6 Re 2.94-3.03, 6 As 2.95-3.02, 2 Zr 3.22
Re 0.3333 0.6667 0.4744  3 As 2.52
As 0.6667 0.3333 0.4801  3 Re 2.52


A plane-wave DFT calculation with GGA-PBE was carried out for a relaxed structure of ZrReAs.

V = 108 Å³/cell
Space-group type = C2/m (12)
Energy relative to the elements = -336 meV/atom
N(E_F) = 4.12 states/eV/cell

a b c (Å): 4.9837 4.9837 5.1184
angles (deg): 106.63 106.63 64.05
Closest atoms and distances in Å follow each position.
Element x y z (fractional)
Zr 0.1860 0.1860 0.1299  4 As 2.68-2.84, 1 Zr 2.97
Zr 0.8140 0.8140 0.8701  4 As 2.68-2.84, 1 Zr 2.97
Re 0.2376 0.7624 0.5000  2 Re 2.51-2.77, 4 As 2.61-2.81
Re 0.7624 0.2376 0.5000  2 Re 2.51-2.77, 4 As 2.61-2.81
As 0.3150 0.3150 0.7186  4 Re 2.61-2.81, 4 Zr 2.68-2.84
As 0.6850 0.6850 0.2814  4 Re 2.61-2.81, 4 Zr 2.68-2.84


A plane-wave DFT calculation with GGA-PBE was carried out for a relaxed structure of AsRh2.

V = 98 Å³/cell
Space-group type = Fd-3m (227)
Energy relative to the elements = 367 meV/atom
N(E_F) = 7.78 states/eV/cell

a b c (Å): 5.1716 5.1716 5.1716
angles (deg): 60.00 60.00 60.00
Closest atoms and distances in Å follow each position.
Element x y z (fractional)
As 0.1250 0.1250 0.1250  12 Rh 3.03, 4 As 3.17
As 0.8750 0.8750 0.8750  12 Rh 3.03, 4 As 3.17
Rh 0.0000 0.5000 0.5000  6 Rh 2.59
Rh 0.5000 0.0000 0.5000  6 Rh 2.59
Rh 0.5000 0.5000 0.0000  6 Rh 2.59
Rh 0.5000 0.5000 0.5000  6 Rh 2.59